# Co2TeOs

Co2TeOs after structural relaxation (PBE-GGA, Alexandria).

## Properties
* space-group type: Pmm2, No. 25
* formation energy (no corrections): 548 meV/atom

a = 3.1541 Å, b = 3.2183 Å, c = 5.6568 Å
α = 90.00°, β = 90.00°, γ = 90.00°
With the nearest neighbours (Å) after each atom.
Element x y z (fractional)
Co1 0.5000 0.5000 0.2401  4 Co 2.58, 4 Os 2.58, 1 Te 2.61
Co2 0.0000 0.0000 0.0177  1 Os 2.52, 4 Co 2.58, 4 Te 2.63
Os1 0.0000 0.0000 0.4627  5 Co 2.52-2.58
Te1 0.5000 0.5000 0.7794  5 Co 2.61-2.63, 4 Os 2.88

***

# ZrCl

ZrCl after structural relaxation (PBE-GGA, Alexandria).

## Properties
* space-group type: Pm-3m, No. 221
* formation energy (no corrections): -237 meV/atom

a = 3.3220 Å, b = 3.3220 Å, c = 3.3220 Å
α = 90.00°, β = 90.00°, γ = 90.00°
With the nearest neighbours (Å) after each atom.
Element x y z (fractional)
Zr1 0.5000 0.5000 0.5000  8 Cl 2.88
Cl1 0.0000 0.0000 0.0000  8 Zr 2.88

***

# SrZrAs2

SrZrAs2 after structural relaxation (PBE-GGA, Alexandria).

## Properties
* space-group type: C2/m, No. 12
* energy relative to the lowest polymorph listed for this composition: 517 meV per atom
* ΔE_f: -2.53 eV per formula unit

a = 5.3335 Å, b = 7.3428 Å, c = 3.4068 Å
α = 77.82°, β = 79.97°, γ = 128.39°
With the nearest neighbours (Å) after each atom.
Element x y z (fractional)
As1 0.0000 0.5000 0.5000  2 Zr 2.90, 2 Sr 2.90
Sr1 0.5000 0.5000 0.0000  4 As 2.90
Zr1 0.5000 0.0000 0.5000  4 As 2.90
As2 0.0000 0.0000 0.0000  2 Sr 2.90, 2 Zr 2.90

***

# LiPrZnCu

LiPrZnCu after structural relaxation (PBE-GGA, Alexandria).

## Properties
* space-group type: F-43m, No. 216
* ΔE_f: -0.52 eV per formula unit

a = 4.8664 Å, b = 4.8664 Å, c = 4.8664 Å
α = 60.00°, β = 60.00°, γ = 60.00°
With the nearest neighbours (Å) after each atom.
Element x y z (fractional)
Cu1 0.2500 0.2500 0.2500  4 Pr 2.98, 4 Li 2.98
Li1 0.0000 0.0000 0.0000  4 Cu 2.98, 4 Zn 2.98
Zn1 0.7500 0.7500 0.7500  4 Pr 2.98, 4 Li 2.98
Pr1 0.5000 0.5000 0.5000  4 Cu 2.98, 4 Zn 2.98

***

# Na2LiICl4

Na2LiICl4 after structural relaxation (PBE-GGA, Alexandria).

## Properties
* space-group type: C2/c, No. 15
* formation energy (no corrections): -1305 meV/atom

a = 8.3453 Å, b = 8.3453 Å, c = 8.4419 Å
α = 110.89°, β = 110.89°, γ = 106.34°
With the nearest neighbours (Å) after each atom.
Element x y z (fractional)
I1 0.0000 0.0000 0.0000  2 Cl 2.56
Na1 0.5000 0.0000 0.0000  4 Cl 2.83-2.86
Cl1 0.7690 0.1832 0.4074  1 Li 2.43
Cl2 0.8877 0.7598 0.1072  1 I 2.56, 1 Li 2.60, 1 Na 2.81
Cl3 0.1123 0.2402 0.8928  1 I 2.56, 1 Li 2.60, 1 Na 2.81
Na2 0.5000 0.5000 0.0000  6 Cl 2.81-2.92
Cl4 0.6832 0.2690 0.9074  1 Li 2.43
Cl5 0.7402 0.6123 0.3928  1 I 2.56, 1 Li 2.60, 1 Na 2.81
Na3 0.0000 0.0000 0.5000  6 Cl 2.81-2.92
Cl6 0.3168 0.7310 0.0926  1 Li 2.43
Li1 0.0000 0.5000 0.5000  4 Cl 2.43-2.60
Cl7 0.2310 0.8168 0.5926  1 Li 2.43
I2 0.5000 0.5000 0.5000  2 Cl 2.56
Na4 0.5000 0.0000 0.5000  4 Cl 2.83-2.86
Li2 0.0000 0.5000 0.0000  4 Cl 2.43-2.60
Cl8 0.2598 0.3877 0.6072  1 I 2.56, 1 Li 2.60, 1 Na 2.81

***

# Er2ScAl

Er2ScAl after structural relaxation (PBE-GGA, Alexandria).

## Properties
* space-group type: R3m, No. 160
* energy relative to the lowest polymorph listed for this composition: 144 meV per atom
* ΔE_f: -0.24 eV per formula unit

a = 3.4653 Å, b = 3.4653 Å, c = 10.3182 Å
α = 80.33°, β = 80.33°, γ = 60.00°
With the nearest neighbours (Å) after each atom.
Element x y z (fractional)
Er1 0.2570 0.2570 0.2289  3 Al 3.06, 3 Sc 3.39
Er2 0.0763 0.0763 0.7712  3 Al 3.07, 3 Sc 3.40
Al1 0.6664 0.6664 0.0007  6 Er 3.06-3.07
Sc1 0.5002 0.5002 0.4993  6 Er 3.39-3.40, 6 Sc 3.47

***

# TcTeS2Cl

TcTeS2Cl after structural relaxation (PBE-GGA, Alexandria).

## Properties
* space-group type: P4/mmm, No. 123
* energy relative to the lowest polymorph listed for this composition: 0 meV per atom
* formation energy (no corrections): 198 meV/atom

a = 4.6589 Å, b = 4.6589 Å, c = 4.7781 Å
α = 90.00°, β = 90.00°, γ = 90.00°
With the nearest neighbours (Å) after each atom.
Element x y z (fractional)
Cl1 0.0000 0.0000 0.5000  2 Tc 2.39
Te1 0.5000 0.5000 0.5000  4 Cl 3.29, 8 S 3.34
S1 0.5000 0.0000 0.0000  2 Tc 2.33
Tc1 0.0000 0.0000 0.0000  4 S 2.33, 2 Cl 2.39
S2 0.0000 0.5000 0.0000  2 Tc 2.33

***

# Nd2PdF8

Nd2PdF8 after structural relaxation (PBE-GGA, Alexandria).

## Properties
* space-group type: C2/m, No. 12
* formation energy (no corrections): -3195 meV/atom

a = 3.6952 Å, b = 6.2465 Å, c = 7.1142 Å
α = 101.90°, β = 105.05°, γ = 90.00°
With the nearest neighbours (Å) after each atom.
Element x y z (fractional)
F1 0.6700 0.9860 0.3400  1 Pd 2.36, 3 Nd 2.53-2.58
Nd1 0.1789 0.7017 0.3577  7 F 2.28-2.53
F2 0.0205 0.8097 0.0410  2 Pd 2.25, 1 Nd 2.41
Pd1 0.5000 0.0000 0.0000  6 F 2.25-2.36
F3 0.4011 0.4634 0.8022  2 Nd 2.28
F4 0.3300 0.0140 0.6600  1 Pd 2.36, 3 Nd 2.53-2.58
F5 0.2100 0.3389 0.4201  3 Nd 2.39-2.44, 1 F 2.57
Nd2 0.8211 0.2983 0.6423  7 F 2.28-2.53
F6 0.9795 0.1903 0.9590  2 Pd 2.25, 1 Nd 2.41
F7 0.7900 0.6611 0.5799  3 Nd 2.39-2.44, 1 F 2.57
F8 0.5989 0.5366 0.1978  2 Nd 2.28

***

Size of the total moment? In order: 0.461, 0.111, 0.000, 0.000, 0.000, 0.178, 0.000, 0.183 μB per atom.
Fermi-level density of states? In order: 1.542, 1.319, 0.471, 0.756, 0.000, 1.203, 0.809, 0.009 states/eV/atom.